A plane-wave DFT calculation with PBE was carried out for crystalline HgH12C9IN at its relaxed geometry.

Geometry as POSCAR:
```
HgH12C9IN
1.0
15.150 0.000 0.000
0.000 13.243 0.000
0.000 0.000 5.558
C H Hg I N
36 48 4 4 4
direct
0.115 0.204 0.021 C
0.615 0.296 0.021 C
0.549 0.702 0.044 C
0.049 0.798 0.044 C
0.161 0.113 0.061 C
0.661 0.387 0.061 C
0.184 0.704 0.092 C
0.684 0.796 0.092 C
0.048 0.233 0.177 C
0.548 0.267 0.177 C
0.139 0.053 0.257 C
0.639 0.447 0.257 C
0.827 0.171 0.277 C
0.327 0.329 0.277 C
0.024 0.171 0.371 C
0.524 0.329 0.371 C
0.070 0.081 0.409 C
0.570 0.419 0.409 C
0.385 0.704 0.521 C
0.885 0.796 0.521 C
0.951 0.202 0.544 C
0.451 0.298 0.544 C
0.339 0.613 0.561 C
0.839 0.887 0.561 C
0.316 0.204 0.592 C
0.816 0.296 0.592 C
0.452 0.733 0.677 C
0.952 0.767 0.677 C
0.361 0.553 0.757 C
0.861 0.947 0.757 C
0.673 0.671 0.777 C
0.173 0.829 0.777 C
0.476 0.671 0.871 C
0.976 0.829 0.871 C
0.430 0.581 0.909 C
0.930 0.919 0.909 C
0.449 0.533 0.061 H
0.949 0.967 0.061 H
0.873 0.135 0.150 H
0.373 0.365 0.150 H
0.567 0.637 0.158 H
0.067 0.863 0.158 H
0.023 0.740 0.166 H
0.523 0.760 0.166 H
0.774 0.208 0.176 H
0.274 0.292 0.176 H
0.149 0.643 0.185 H
0.649 0.857 0.185 H
0.711 0.743 0.229 H
0.211 0.757 0.229 H
0.676 0.517 0.291 H
0.176 0.983 0.291 H
0.867 0.749 0.368 H
0.367 0.751 0.368 H
0.797 0.111 0.389 H
0.297 0.389 0.389 H
0.286 0.590 0.441 H
0.786 0.910 0.441 H
0.260 0.171 0.494 H
0.760 0.329 0.494 H
0.051 0.033 0.561 H
0.551 0.467 0.561 H
0.627 0.635 0.650 H
0.127 0.865 0.650 H
0.933 0.137 0.658 H
0.433 0.363 0.658 H
0.477 0.240 0.666 H
0.977 0.260 0.666 H
0.726 0.708 0.676 H
0.226 0.792 0.676 H
0.351 0.143 0.685 H
0.851 0.357 0.685 H
0.789 0.243 0.729 H
0.289 0.257 0.729 H
0.824 0.017 0.791 H
0.324 0.483 0.791 H
0.633 0.249 0.868 H
0.133 0.251 0.868 H
0.703 0.611 0.889 H
0.203 0.889 0.889 H
0.214 0.090 0.941 H
0.714 0.410 0.941 H
0.240 0.671 0.994 H
0.740 0.829 0.994 H
0.479 0.129 0.145 Hg
0.979 0.371 0.145 Hg
0.021 0.629 0.645 Hg
0.521 0.871 0.645 Hg
0.887 0.543 0.113 I
0.387 0.957 0.113 I
0.613 0.043 0.613 I
0.113 0.457 0.613 I
0.874 0.246 0.422 N
0.374 0.254 0.422 N
0.626 0.746 0.922 N
0.126 0.754 0.922 N
```

## Properties
raw total energy: -5.619 eV per atom
volume: 11.62 Å³ per atom
density: 2.750 g/cm³
space-group type: No. 33

***

A plane-wave DFT calculation with PBE was carried out for crystalline K2HgH4PtC6N6O2 at its relaxed geometry.

Geometry as POSCAR:
```
K2HgH4PtC6N6O2
1.0
9.900 0.000 0.000
0.000 6.494 0.000
-4.670 0.000 10.276
C H Hg K N O Pt
12 8 2 4 12 4 2
direct
0.217 0.029 0.031 C
0.214 0.529 0.113 C
0.945 0.519 0.150 C
0.055 0.019 0.350 C
0.786 0.029 0.387 C
0.783 0.529 0.469 C
0.217 0.471 0.531 C
0.214 0.971 0.613 C
0.945 0.981 0.650 C
0.055 0.481 0.850 C
0.786 0.471 0.887 C
0.783 0.971 0.969 C
0.722 0.352 0.160 H
0.594 0.234 0.177 H
0.406 0.734 0.323 H
0.278 0.852 0.340 H
0.722 0.148 0.660 H
0.594 0.266 0.677 H
0.406 0.766 0.823 H
0.278 0.648 0.840 H
0.000 0.000 0.000 Hg
0.000 0.500 0.500 Hg
0.573 0.738 0.129 K
0.427 0.238 0.371 K
0.573 0.762 0.629 K
0.427 0.262 0.871 K
0.343 0.048 0.053 N
0.341 0.550 0.179 N
0.903 0.531 0.233 N
0.097 0.031 0.267 N
0.659 0.050 0.321 N
0.657 0.548 0.447 N
0.343 0.452 0.553 N
0.341 0.950 0.679 N
0.903 0.969 0.733 N
0.097 0.469 0.767 N
0.659 0.450 0.821 N
0.657 0.952 0.947 N
0.614 0.332 0.119 O
0.386 0.832 0.381 O
0.614 0.168 0.619 O
0.386 0.668 0.881 O
0.000 0.500 0.000 Pt
0.000 0.000 0.500 Pt
```

## Properties
M_tot: 0.00 μB/cell
raw total energy: -6.464 eV per atom
volume: 15.02 Å³ per atom
density: 3.348 g/cm³
space-group type: No. 14